(1)
First-principles (GGA+U) data for a relaxed CsPaFeO5 crystal, as listed in Alexandria.

a = 6.476 Å, b = 6.476 Å, c = 8.252 Å
α = 106.17°, β = 106.17°, γ = 105.28°
Element x y z (fractional)
Cs 0.166 0.834 0.750
Cs 0.834 0.166 0.250
Pa 0.500 0.500 0.000
Pa 0.500 0.500 0.500
Fe 0.194 0.806 0.250
Fe 0.806 0.194 0.750
O 0.124 0.288 0.880
O 0.233 0.620 0.389
O 0.288 0.124 0.380
O 0.380 0.767 0.111
O 0.444 0.556 0.750
O 0.556 0.444 0.250
O 0.620 0.233 0.889
O 0.712 0.876 0.620
O 0.767 0.380 0.611
O 0.876 0.712 0.120

space-group type: C2/c (15)
N(E_F): 0.6181 states/eV/atom
final energy: -0.5393 Ry per atom


(2)
First-principles (GGA+U) data for a relaxed VSeO2F crystal, as listed in Alexandria.

a = 3.931 Å, b = 3.931 Å, c = 3.972 Å
α = 90.00°, β = 90.00°, γ = 90.00°
Element x y z (fractional)
V 0.000 0.000 0.000
Se 0.500 0.500 0.500
O 0.000 0.500 0.000
O 0.500 0.000 0.000
F 0.000 0.000 0.500

space-group type: P4/mmm (123)
N(E_F): 0.5194 states/eV/atom
final energy: -0.4052 Ry per atom